1.
# InSbRh2 (PBE, optimized geometry)
data_InSbRh2
_chemical_formula_sum 'In1 Sb1 Rh2'
_cell_length_a 3.652
_cell_length_b 3.652
_cell_length_c 5.534
_cell_angle_alpha 90.00
_cell_angle_beta 90.00
_cell_angle_gamma 90.00
_space_group_name_H-M_alt 'P 4 m m'
_space_group_IT_number 99
loop_
_space_group_symop_operation_xyz
'x,y,z'
'-y,x,z'
'-x,-y,z'
'y,-x,z'
'-x,y,z'
'y,x,z'
'x,-y,z'
'-y,-x,z'
loop_
_atom_site_label
_atom_site_fract_x
_atom_site_fract_y
_atom_site_fract_z
_atom_site_occupancy
In1 0.000 0.000 0.000 1
Sb1 0.500 0.500 0.644 1
Rh1 0.000 0.000 0.492 1
Rh2 0.500 0.500 0.155 1
# * calculated volume: 73.8 Å³/cell
# * formation energy from raw total energies: -0.257 eV per atom
# * density of states at the Fermi level: 0.806 states/eV per atom
# * raw total energy: -5.648 eV per atom
# * crystal system: tetragonal

=====

2.
# Ba2UHSe5 (PBE, optimized geometry)
data_Ba2UHSe5
_chemical_formula_sum 'Ba8 U4 H4 Se20'
_cell_length_a 4.382
_cell_length_b 18.744
_cell_length_c 13.018
_cell_angle_alpha 90.00
_cell_angle_beta 90.00
_cell_angle_gamma 90.00
_space_group_name_H-M_alt 'C m c 21'
_space_group_IT_number 36
loop_
_space_group_symop_operation_xyz
'x,y,z'
'-x,-y,z+1/2'
'-x,y,z'
'x,-y,z+1/2'
'x+1/2,y+1/2,z'
'-x+1/2,-y+1/2,z+1/2'
'-x+1/2,y+1/2,z'
'x+1/2,-y+1/2,z+1/2'
loop_
_atom_site_label
_atom_site_fract_x
_atom_site_fract_y
_atom_site_fract_z
_atom_site_occupancy
Ba1 0.000 0.113 0.000 1
Ba2 0.000 0.129 0.628 1
U1 0.000 0.198 0.326 1
H1 0.000 0.474 0.698 1
Se1 0.000 0.062 0.362 1
Se2 0.000 0.289 0.966 1
Se3 0.000 0.308 0.686 1
Se4 0.000 0.345 0.317 1
Se5 0.000 0.498 0.091 1
# * calculated volume: 1069.2 Å³/cell
# * density of states at the Fermi level: 0.621 states/eV per atom
# * raw total energy: -5.322 eV per atom
# * crystal system: orthorhombic